NbAlIrAu | PBE-GGA | relaxed

VASP energy ... -6.797 eV per atom
Space-group type ... F-43m (216)
Offset from the most stable computed form ... 0.0 kJ/mol of atoms

Lattice parameters (Å, degrees): 4.5366 4.5366 4.5366 60.00 60.00 60.00
Fractional coordinates of all 4 atoms:
1 Nb 0.0000 0.0000 0.0000
2 Al 0.5000 0.5000 0.5000
3 Ir 0.2500 0.2500 0.2500
4 Au 0.7500 0.7500 0.7500

---

Lu2Hf4Sb3N3 | PBE-GGA | relaxed

VASP energy ... -8.254 eV per atom
Space-group type ... C2/c (15)

Lattice parameters (Å, degrees): 5.9162 5.9162 14.2468 102.02 102.02 59.93
Fractional coordinates of all 24 atoms:
1 Lu 0.0307 0.8673 0.5917
2 Lu 0.1327 0.9693 0.9083
3 Lu 0.8673 0.0307 0.0917
4 Lu 0.9693 0.1327 0.4083
5 Hf 0.1947 0.3591 0.0838
6 Hf 0.3024 0.4742 0.4162
7 Hf 0.3591 0.1947 0.5838
8 Hf 0.4742 0.3024 0.9162
9 Hf 0.5258 0.6976 0.0838
10 Hf 0.6409 0.8053 0.4162
11 Hf 0.6976 0.5258 0.5838
12 Hf 0.8053 0.6409 0.9162
13 Sb 0.0853 0.2635 0.7509
14 Sb 0.2635 0.0853 0.2509
15 Sb 0.4323 0.5677 0.7500
16 Sb 0.5677 0.4323 0.2500
17 Sb 0.7365 0.9147 0.7491
18 Sb 0.9147 0.7365 0.2491
19 N 0.0000 0.5000 0.5000
20 N 0.1692 0.6616 0.0000
21 N 0.3384 0.8308 0.5000
22 N 0.5000 0.0000 0.0000
23 N 0.6616 0.1692 0.5000
24 N 0.8308 0.3384 0.0000

---

Na4Ta4O11 | PBE-GGA | relaxed

VASP energy ... -8.098 eV per atom
Space-group type ... P1 (1)

Lattice parameters (Å, degrees): 5.4616 5.5170 7.7899 90.04 90.03 90.56
Fractional coordinates of all 19 atoms:
1 Na 0.0000 0.0000 0.0000
2 Na 0.0056 0.9562 0.4971
3 Na 0.4947 0.4480 0.4902
4 Na 0.5043 0.4973 0.9973
5 Ta 0.9999 0.4742 0.2490
6 Ta 0.0018 0.4797 0.7475
7 Ta 0.4989 0.9757 0.7450
8 Ta 0.5045 0.9768 0.2483
9 O 0.0612 0.4513 0.9947
10 O 0.2116 0.1864 0.2826
11 O 0.2289 0.1933 0.7115
12 O 0.2918 0.6874 0.2777
13 O 0.2997 0.6797 0.7073
14 O 0.4437 0.9733 0.9938
15 O 0.5773 0.9939 0.4978
16 O 0.7074 0.2699 0.2118
17 O 0.7855 0.7490 0.7857
18 O 0.7940 0.7667 0.2146
19 O 0.9297 0.4830 0.4991